1.
# Pm2YF8 | Alexandria | GGA-PBE | relaxed
# - Theoretical density: 5.84 g/cm³
# - Formation energy from raw total energies: -3850 meV/atom
# - Relative energy among the computed polymorphs: 6 meV per atom
data_Pm2YF8
_cell_length_a 15.141
_cell_length_b 3.744
_cell_length_c 5.704
_cell_angle_alpha 90.00
_cell_angle_beta 110.92
_cell_angle_gamma 90.00
_space_group_name_H-M_alt 'C 1 2/m 1'
_space_group_IT_number 12
_space_group_name_Hall '-C 2y'
loop_
_atom_site_label
_atom_site_type_symbol
_atom_site_fract_x
_atom_site_fract_y
_atom_site_fract_z
Pm1 Pm 0.175 0.000 0.178
Y1 Y 0.000 0.500 0.500
F1 F 0.042 0.000 0.288
F2 F 0.094 0.500 0.936
F3 F 0.176 0.500 0.460
F4 F 0.223 0.000 0.827


2.
# Pm2YF8 | Alexandria | GGA-PBE | relaxed
# - Theoretical density: 4.63 g/cm³
# - Formation energy from raw total energies: -3856 meV/atom
# - Relative energy among the computed polymorphs: 0 meV per atom
data_Pm2YF8
_cell_length_a 13.708
_cell_length_b 4.042
_cell_length_c 7.123
_cell_angle_alpha 90.00
_cell_angle_beta 105.11
_cell_angle_gamma 90.00
_space_group_name_H-M_alt 'C 1 2/m 1'
_space_group_IT_number 12
_space_group_name_Hall '-C 2y'
loop_
_atom_site_label
_atom_site_type_symbol
_atom_site_fract_x
_atom_site_fract_y
_atom_site_fract_z
Pm1 Pm 0.237 0.000 0.237
Y1 Y 0.000 0.000 0.500
F1 F 0.076 0.000 0.261
F2 F 0.091 0.500 0.589
F3 F 0.193 0.500 0.034
F4 F 0.236 0.000 0.592


3.
# PmY2F | Alexandria | GGA-PBE | relaxed
# - Theoretical density: 5.28 g/cm³
# - Formation energy from raw total energies: -888 meV/atom
data_PmY2F
_cell_length_a 3.6353
_cell_length_b 3.6353
_cell_length_c 28.1874
_cell_angle_alpha 90.00
_cell_angle_beta 90.00
_cell_angle_gamma 120.00
_space_group_name_H-M_alt 'R -3 m'
_space_group_IT_number 166
_space_group_name_Hall '-R 3 2"'
loop_
_atom_site_label
_atom_site_type_symbol
_atom_site_fract_x
_atom_site_fract_y
_atom_site_fract_z
Pm1 Pm 0.0000 0.0000 0.0000
Y1 Y 0.0000 0.0000 0.1184
F1 F 0.0000 0.0000 0.5000


4.
# Pm2YF | Alexandria | GGA-PBE | relaxed
# - Theoretical density: 5.96 g/cm³
# - Formation energy from raw total energies: -919 meV/atom
data_Pm2YF
_cell_length_a 3.7228
_cell_length_b 3.7228
_cell_length_c 27.7253
_cell_angle_alpha 90.00
_cell_angle_beta 90.00
_cell_angle_gamma 120.00
_space_group_name_H-M_alt 'R -3 m'
_space_group_IT_number 166
_space_group_name_Hall '-R 3 2"'
loop_
_atom_site_label
_atom_site_type_symbol
_atom_site_fract_x
_atom_site_fract_y
_atom_site_fract_z
Pm1 Pm 0.0000 0.0000 0.1164
Y1 Y 0.0000 0.0000 0.0000
F1 F 0.0000 0.0000 0.5000


5.
# Pm2YF11 | Alexandria | GGA-PBE | relaxed
# - Theoretical density: 3.84 g/cm³
# - Formation energy from raw total energies: -3414 meV/atom
data_Pm2YF11
_cell_length_a 8.623
_cell_length_b 10.416
_cell_length_c 11.309
_cell_angle_alpha 90.00
_cell_angle_beta 90.00
_cell_angle_gamma 90.00
_space_group_name_H-M_alt 'I b a m'
_space_group_IT_number 72
_space_group_name_Hall '-I 2 2c'
loop_
_atom_site_label
_atom_site_type_symbol
_atom_site_fract_x
_atom_site_fract_y
_atom_site_fract_z
Pm1 Pm 0.163 0.190 0.000
Y1 Y 0.000 0.500 0.250
F1 F 0.000 0.000 0.000
F2 F 0.100 0.331 0.146
F3 F 0.107 0.189 0.500
F4 F 0.199 0.426 0.366


6.
# PmY3F | Alexandria | GGA-PBE | relaxed
# - Theoretical density: 5.40 g/cm³
# - Formation energy from raw total energies: -916 meV/atom
data_PmY3F
_cell_length_a 5.096
_cell_length_b 5.096
_cell_length_c 5.096
_cell_angle_alpha 90.00
_cell_angle_beta 90.00
_cell_angle_gamma 90.00
_space_group_name_H-M_alt 'P m -3 m'
_space_group_IT_number 221
_space_group_name_Hall '-P 4 2 3'
loop_
_atom_site_label
_atom_site_type_symbol
_atom_site_fract_x
_atom_site_fract_y
_atom_site_fract_z
Pm1 Pm 0.000 0.000 0.000
Y1 Y 0.000 0.500 0.500
F1 F 0.500 0.500 0.500


7.
# Pm3YF | Alexandria | GGA-PBE | relaxed
# - Theoretical density: 6.59 g/cm³
# - Formation energy from raw total energies: -977 meV/atom
data_Pm3YF
_cell_length_a 5.153
_cell_length_b 5.153
_cell_length_c 5.153
_cell_angle_alpha 90.00
_cell_angle_beta 90.00
_cell_angle_gamma 90.00
_space_group_name_H-M_alt 'P m -3 m'
_space_group_IT_number 221
_space_group_name_Hall '-P 4 2 3'
loop_
_atom_site_label
_atom_site_type_symbol
_atom_site_fract_x
_atom_site_fract_y
_atom_site_fract_z
Pm1 Pm 0.000 0.000 0.500
Y1 Y 0.500 0.500 0.500
F1 F 0.000 0.000 0.000


8.
# PmY2F11 | Alexandria | GGA-PBE | relaxed
# - Theoretical density: 3.55 g/cm³
# - Formation energy from raw total energies: -3428 meV/atom
data_PmY2F11
_cell_length_a 8.432
_cell_length_b 10.337
_cell_length_c 11.414
_cell_angle_alpha 90.00
_cell_angle_beta 90.00
_cell_angle_gamma 90.00
_space_group_name_H-M_alt 'I b a m'
_space_group_IT_number 72
_space_group_name_Hall '-I 2 2c'
loop_
_atom_site_label
_atom_site_type_symbol
_atom_site_fract_x
_atom_site_fract_y
_atom_site_fract_z
Pm1 Pm 0.000 0.000 0.250
Y1 Y 0.159 0.311 0.000
F1 F 0.000 0.500 0.000
F2 F 0.104 0.173 0.141
F3 F 0.109 0.306 0.500
F4 F 0.209 0.077 0.368